GGA+U Sc2Mo2O, optimized geometry; space-group type = P4/mbm, No. 127; distance to the lowest polymorph of the same formula = 0 kJ/mol of formula units; ρ = 5.415 g/cm³; DFT total energy = -6.287 eV per atom
1.0
5.805 0.000 0.000
0.000 5.805 0.000
0.000 0.000 5.421
Sc Mo O
4 4 2
Cartesian
1.031 1.871 0.000 Sc
1.871 4.774 0.000 Sc
3.933 1.031 0.000 Sc
4.774 3.933 0.000 Sc
0.880 3.783 2.710 Mo
2.022 0.880 2.710 Mo
3.783 4.924 2.710 Mo
4.924 2.022 2.710 Mo
0.000 0.000 0.000 O
2.902 2.902 0.000 O